Record 1
## In4HgPb15 (PBE)

Data for crystalline In4HgPb15 at its relaxed geometry.

Cell: 4.9161 4.9161 25.1431 Å, 90.00 90.00 90.00°
Closest atoms and distances in Å follow each position.
Element x y z (fractional)
In 0.0000 0.0000 0.1005  12 Pb 3.48-3.54
In 0.0000 0.0000 0.3020  12 Pb 3.48-3.52
In 0.0000 0.0000 0.6980  12 Pb 3.48-3.52
In 0.0000 0.0000 0.8995  12 Pb 3.48-3.54
Hg 0.0000 0.0000 0.5000  12 Pb 3.48
Pb 0.0000 0.5000 0.0000  8 Pb 3.48-3.53, 4 In 3.52
Pb 0.0000 0.5000 0.2018  8 Pb 3.48-3.53, 4 In 3.52-3.54
Pb 0.0000 0.5000 0.4020  8 Pb 3.48-3.53, 2 Hg 3.48, 2 In 3.52
Pb 0.0000 0.5000 0.5980  8 Pb 3.48-3.53, 2 Hg 3.48, 2 In 3.52
Pb 0.0000 0.5000 0.7982  8 Pb 3.48-3.53, 4 In 3.52-3.54
Pb 0.5000 0.0000 0.0000  8 Pb 3.48-3.53, 4 In 3.52
Pb 0.5000 0.0000 0.2018  8 Pb 3.48-3.53, 4 In 3.52-3.54
Pb 0.5000 0.0000 0.4020  8 Pb 3.48-3.53, 2 Hg 3.48, 2 In 3.52
Pb 0.5000 0.0000 0.5980  8 Pb 3.48-3.53, 2 Hg 3.48, 2 In 3.52
Pb 0.5000 0.0000 0.7982  8 Pb 3.48-3.53, 4 In 3.52-3.54
Pb 0.5000 0.5000 0.1008  4 In 3.48, 8 Pb 3.53
Pb 0.5000 0.5000 0.3015  4 In 3.48, 8 Pb 3.51-3.53
Pb 0.5000 0.5000 0.5000  4 Hg 3.48, 8 Pb 3.48
Pb 0.5000 0.5000 0.6985  4 In 3.48, 8 Pb 3.51-3.53
Pb 0.5000 0.5000 0.8992  4 In 3.48, 8 Pb 3.53

Calculated values
As for the total energy: -66.60 eV/cell. The value obtained for the formation energy is 0.3 eV/f.u. Its space-group type is No. 123. The magnetic moment comes out at 0.00 μB per cell. For the density of states at the Fermi level, the calculation gives 12.5 states/eV/f.u.



Record 2
## InHg3Pb12 (PBE)

Data for crystalline InHg3Pb12 at its relaxed geometry.

Cell: 4.8651 4.8651 20.2499 Å, 90.00 90.00 90.00°
Closest atoms and distances in Å follow each position.
Element x y z (fractional)
In 0.0000 0.0000 0.0000  12 Pb 3.44-3.53
Hg 0.0000 0.0000 0.2507  12 Pb 3.44-3.51
Hg 0.0000 0.0000 0.5000  12 Pb 3.44-3.50
Hg 0.0000 0.0000 0.7493  12 Pb 3.44-3.51
Pb 0.0000 0.5000 0.1265  8 Pb 3.44-3.53, 2 Hg 3.50, 2 In 3.53
Pb 0.0000 0.5000 0.3758  8 Pb 3.44-3.50, 4 Hg 3.50-3.51
Pb 0.0000 0.5000 0.6242  8 Pb 3.44-3.50, 4 Hg 3.50-3.51
Pb 0.0000 0.5000 0.8735  8 Pb 3.44-3.53, 2 Hg 3.50, 2 In 3.53
Pb 0.5000 0.0000 0.1265  8 Pb 3.44-3.53, 2 Hg 3.50, 2 In 3.53
Pb 0.5000 0.0000 0.3758  8 Pb 3.44-3.50, 4 Hg 3.50-3.51
Pb 0.5000 0.0000 0.6242  8 Pb 3.44-3.50, 4 Hg 3.50-3.51
Pb 0.5000 0.0000 0.8735  8 Pb 3.44-3.53, 2 Hg 3.50, 2 In 3.53
Pb 0.5000 0.5000 0.0000  4 In 3.44, 8 Pb 3.53
Pb 0.5000 0.5000 0.2512  4 Hg 3.44, 8 Pb 3.50-3.51
Pb 0.5000 0.5000 0.5000  4 Hg 3.44, 8 Pb 3.50
Pb 0.5000 0.5000 0.7488  4 Hg 3.44, 8 Pb 3.50-3.51

Calculated values
As for the total energy: -48.02 eV/cell. The value obtained for the formation energy is 0.1 eV/f.u. Its space-group type is No. 123. The magnetic moment comes out at 0.00 μB per cell. For the density of states at the Fermi level, the calculation gives 6.0 states/eV/f.u.



Record 3
## In2HgPb4 (PBE)

Data for crystalline In2HgPb4 at its relaxed geometry.

Cell: 6.6734 6.6734 10.6718 Å, 90.00 90.00 112.52°
Closest atoms and distances in Å follow each position.
Element x y z (fractional)
In 0.2085 0.7217 0.0000  1 In 3.19, 8 Pb 3.23-3.38
In 0.2783 0.7915 0.5000  1 In 3.19, 8 Pb 3.23-3.38
In 0.7217 0.2085 0.5000  1 In 3.19, 8 Pb 3.23-3.38
In 0.7915 0.2783 0.0000  1 In 3.19, 8 Pb 3.23-3.38
Hg 0.0000 0.0000 0.2500  8 Pb 3.31-3.34
Hg 0.0000 0.0000 0.7500  8 Pb 3.31-3.34
Pb 0.0000 0.5000 0.2708  4 In 3.23-3.30, 2 Hg 3.34, 2 Pb 3.56
Pb 0.0000 0.5000 0.7292  4 In 3.23-3.30, 2 Hg 3.34, 2 Pb 3.56
Pb 0.2463 0.2799 0.5000  2 Hg 3.31, 4 In 3.34-3.38, 3 Pb 3.53-3.56
Pb 0.2799 0.2463 0.0000  2 Hg 3.31, 4 In 3.34-3.38, 3 Pb 3.53-3.56
Pb 0.5000 0.0000 0.2292  4 In 3.23-3.30, 2 Hg 3.34, 2 Pb 3.56
Pb 0.5000 0.0000 0.7708  4 In 3.23-3.30, 2 Hg 3.34, 2 Pb 3.56
Pb 0.7201 0.7537 0.0000  2 Hg 3.31, 4 In 3.34-3.38, 3 Pb 3.53-3.56
Pb 0.7537 0.7201 0.5000  2 Hg 3.31, 4 In 3.34-3.38, 3 Pb 3.53-3.56

Calculated values
For the energy above the most stable polymorph in this dataset, the calculation gives 56.1 meV/atom. As for the total energy: -40.01 eV/cell. The value obtained for the formation energy is 0.6 eV/f.u. Its space-group type is No. 66. The magnetic moment comes out at 0.00 μB per cell. For the density of states at the Fermi level, the calculation gives 3.7 states/eV/f.u.



Record 4
## In15Hg4Pb (PBE)

Data for crystalline In15Hg4Pb at its relaxed geometry.

Cell: 4.7404 4.7404 23.8442 Å, 90.00 90.00 90.00°
Closest atoms and distances in Å follow each position.
Element x y z (fractional)
In 0.0000 0.0000 0.0000  4 Pb 3.35, 8 In 3.43
In 0.0000 0.0000 0.2027  8 In 3.34, 4 Hg 3.35
In 0.0000 0.0000 0.4006  8 In 3.35, 4 Hg 3.35
In 0.0000 0.0000 0.5994  8 In 3.35, 4 Hg 3.35
In 0.0000 0.0000 0.7973  8 In 3.34, 4 Hg 3.35
In 0.0000 0.5000 0.1037  8 In 3.34-3.43, 2 Hg 3.36, 2 Pb 3.43
In 0.0000 0.5000 0.3014  4 Hg 3.33, 8 In 3.34-3.35
In 0.0000 0.5000 0.5000  8 In 3.35, 4 Hg 3.37
In 0.0000 0.5000 0.6986  4 Hg 3.33, 8 In 3.34-3.35
In 0.0000 0.5000 0.8963  8 In 3.34-3.43, 2 Hg 3.36, 2 Pb 3.43
In 0.5000 0.0000 0.1037  8 In 3.34-3.43, 2 Hg 3.36, 2 Pb 3.43
In 0.5000 0.0000 0.3014  4 Hg 3.33, 8 In 3.34-3.35
In 0.5000 0.0000 0.5000  8 In 3.35, 4 Hg 3.37
In 0.5000 0.0000 0.6986  4 Hg 3.33, 8 In 3.34-3.35
In 0.5000 0.0000 0.8963  8 In 3.34-3.43, 2 Hg 3.36, 2 Pb 3.43
Hg 0.5000 0.5000 0.2034  12 In 3.33-3.36
Hg 0.5000 0.5000 0.3993  12 In 3.33-3.37
Hg 0.5000 0.5000 0.6007  12 In 3.33-3.37
Hg 0.5000 0.5000 0.7966  12 In 3.33-3.36
Pb 0.5000 0.5000 0.0000  12 In 3.35-3.43

Calculated values
As for the total energy: -45.77 eV/cell. The value obtained for the formation energy is 0.2 eV/f.u. Its space-group type is No. 123. The magnetic moment comes out at 0.00 μB per cell. For the density of states at the Fermi level, the calculation gives 5.9 states/eV/f.u.